PtC2 after structural relaxation, computed with PBE.

Structure (CIF):
```
data_PtC2
_chemical_formula_sum 'Pt4 C8'
_space_group_name_H-M_alt 'I 4/m c m'
_space_group_IT_number 140
_space_group_name_Hall '-I 4 2c'
_cell_length_a 4.683
_cell_length_b 4.683
_cell_length_c 5.417
_cell_angle_alpha 90.00
_cell_angle_beta 90.00
_cell_angle_gamma 90.00
loop_
_atom_site_label
_atom_site_type_symbol
_atom_site_fract_x
_atom_site_fract_y
_atom_site_fract_z
_atom_site_occupancy
Pt1 Pt 0.000 0.000 0.250 1
C1 C 0.105 0.395 0.000 1
```

Final energy (hartree per atom): -0.2352
Spin magnetization (μB/f.u.): 0.00
Polymorph energy (0 for the lowest one) (eV per atom): 1.442

---

PmPu4Ga5 after structural relaxation, computed with PBE.

Structure (CIF):
```
data_PmPu4Ga5
_chemical_formula_sum 'Pm1 Pu4 Ga5'
_space_group_name_H-M_alt 'P 4/m m m'
_space_group_IT_number 123
_space_group_name_Hall '-P 4 2'
_cell_length_a 3.560
_cell_length_b 3.560
_cell_length_c 18.249
_cell_angle_alpha 90.00
_cell_angle_beta 90.00
_cell_angle_gamma 90.00
loop_
_atom_site_label
_atom_site_type_symbol
_atom_site_fract_x
_atom_site_fract_y
_atom_site_fract_z
_atom_site_occupancy
Pm1 Pm 0.000 0.000 0.000 1
Pu1 Pu 0.000 0.000 0.204 1
Pu2 Pu 0.000 0.000 0.402 1
Ga1 Ga 0.500 0.500 0.105 1
Ga2 Ga 0.500 0.500 0.303 1
Ga3 Ga 0.500 0.500 0.500 1
```

Final energy (hartree per atom): -0.2951
Spin magnetization (μB/f.u.): 0.27

---

TlVPb2 after structural relaxation, computed with PBE.

Structure (CIF):
```
data_TlVPb2
_chemical_formula_sum 'Tl4 V4 Pb8'
_space_group_name_H-M_alt 'F m -3 m'
_space_group_IT_number 225
_space_group_name_Hall '-F 4 2 3'
_cell_length_a 7.541
_cell_length_b 7.541
_cell_length_c 7.541
_cell_angle_alpha 90.00
_cell_angle_beta 90.00
_cell_angle_gamma 90.00
loop_
_atom_site_label
_atom_site_type_symbol
_atom_site_fract_x
_atom_site_fract_y
_atom_site_fract_z
_atom_site_occupancy
Tl1 Tl 0.000 0.000 0.000 1
V1 V 0.000 0.000 0.500 1
Pb1 Pb 0.250 0.250 0.250 1
```

Final energy (hartree per atom): -0.1555
Spin magnetization (μB/f.u.): 3.84
Polymorph energy (0 for the lowest one) (eV per atom): 0.000

---

AcTbCd4 after structural relaxation, computed with PBE.

Structure (CIF):
```
data_AcTbCd4
_chemical_formula_sum 'Ac4 Tb4 Cd16'
_space_group_name_H-M_alt 'F -4 3 m'
_space_group_IT_number 216
_space_group_name_Hall 'F -4 2 3'
_cell_length_a 8.594
_cell_length_b 8.594
_cell_length_c 8.594
_cell_angle_alpha 90.00
_cell_angle_beta 90.00
_cell_angle_gamma 90.00
loop_
_atom_site_label
_atom_site_type_symbol
_atom_site_fract_x
_atom_site_fract_y
_atom_site_fract_z
_atom_site_occupancy
Ac1 Ac 0.000 0.000 0.000 1
Tb1 Tb 0.250 0.250 0.750 1
Cd1 Cd 0.124 0.124 0.376 1
```

Final energy (hartree per atom): -0.0860
Spin magnetization (μB/f.u.): 0.00
Polymorph energy (0 for the lowest one) (eV per atom): 0.049

---

Sm2Mn2Al2Fe13 after structural relaxation, computed with PBE.

Structure (CIF):
```
data_Sm2Mn2Al2Fe13
_chemical_formula_sum 'Sm4 Mn4 Al4 Fe26'
_space_group_name_H-M_alt 'C 1 2/m 1'
_space_group_IT_number 12
_cell_length_a 9.679
_cell_length_b 8.455
_cell_length_c 6.407
_cell_angle_alpha 90.00
_cell_angle_beta 100.49
_cell_angle_gamma 90.00
loop_
_space_group_symop_operation_xyz
'x,y,z'
'-x,-y,-z'
'-x,y,-z'
'x,-y,z'
'x+1/2,y+1/2,z'
'-x+1/2,-y+1/2,-z'
'-x+1/2,y+1/2,-z'
'x+1/2,-y+1/2,z'
loop_
_atom_site_label
_atom_site_type_symbol
_atom_site_fract_x
_atom_site_fract_y
_atom_site_fract_z
_atom_site_occupancy
Sm1 Sm 0.151 0.000 0.352 1
Mn1 Mn 0.250 0.250 0.000 1
Al1 Al 0.100 0.500 0.895 1
Fe1 Fe 0.000 0.205 0.000 1
Fe2 Fe 0.000 0.500 0.500 1
Fe3 Fe 0.092 0.252 0.660 1
Fe4 Fe 0.144 0.354 0.287 1
Fe5 Fe 0.160 0.000 0.848 1
```

Final energy (hartree per atom): -0.2824
Spin magnetization (μB/f.u.): 21.45

---

LiRu3Se after structural relaxation, computed with PBE.

Structure (CIF):
```
data_LiRu3Se
_chemical_formula_sum 'Li1 Ru3 Se1'
_space_group_name_H-M_alt 'P m -3 m'
_space_group_IT_number 221
_space_group_name_Hall '-P 4 2 3'
_cell_length_a 4.160
_cell_length_b 4.160
_cell_length_c 4.160
_cell_angle_alpha 90.00
_cell_angle_beta 90.00
_cell_angle_gamma 90.00
loop_
_atom_site_label
_atom_site_type_symbol
_atom_site_fract_x
_atom_site_fract_y
_atom_site_fract_z
_atom_site_occupancy
Li1 Li 0.000 0.000 0.000 1
Ru1 Ru 0.000 0.000 0.500 1
Se1 Se 0.500 0.500 0.500 1
```

Raw formation energy (meV/atom): 1200
Final energy (hartree per atom): -0.2001
Spin magnetization (μB/f.u.): 0.15
Polymorph energy (0 for the lowest one) (eV per atom): 0.333

---

BPdSI2 after structural relaxation, computed with PBE.

Structure (CIF):
```
data_BPdSI2
_chemical_formula_sum 'B1 Pd1 S1 I2'
_space_group_name_H-M_alt 'P 4/m m m'
_space_group_IT_number 123
_space_group_name_Hall '-P 4 2'
_cell_length_a 5.172
_cell_length_b 5.172
_cell_length_c 4.155
_cell_angle_alpha 90.00
_cell_angle_beta 90.00
_cell_angle_gamma 90.00
loop_
_atom_site_label
_atom_site_type_symbol
_atom_site_fract_x
_atom_site_fract_y
_atom_site_fract_z
_atom_site_occupancy
B1 B 0.000 0.000 0.000 1
Pd1 Pd 0.000 0.000 0.500 1
S1 S 0.500 0.500 0.500 1
I1 I 0.000 0.500 0.000 1
```

Raw formation energy (meV/atom): 982
Final energy (hartree per atom): -0.1043
Spin magnetization (μB/f.u.): 0.43

---

LiScSeN2 after structural relaxation, computed with PBE.

Structure (CIF):
```
data_LiScSeN2
_chemical_formula_sum 'Li1 Sc1 Se1 N2'
_space_group_name_H-M_alt 'P 4/m m m'
_space_group_IT_number 123
_space_group_name_Hall '-P 4 2'
_cell_length_a 4.268
_cell_length_b 4.268
_cell_length_c 5.347
_cell_angle_alpha 90.00
_cell_angle_beta 90.00
_cell_angle_gamma 90.00
loop_
_atom_site_label
_atom_site_type_symbol
_atom_site_fract_x
_atom_site_fract_y
_atom_site_fract_z
_atom_site_occupancy
Li1 Li 0.000 0.000 0.000 1
Sc1 Sc 0.500 0.500 0.500 1
Se1 Se 0.500 0.500 0.000 1
N1 N 0.000 0.500 0.500 1
```

Raw formation energy (meV/atom): 287
Final energy (hartree per atom): -0.1981
Spin magnetization (μB/f.u.): 3.80
Polymorph energy (0 for the lowest one) (eV per atom): 0.000